(1)
Entry from Alexandria via LeMat-Bulk: a relaxed Dy2Ni21B6 crystal (PBE-GGA).

Results
- Energy relative to the elements: -339 meV per atom
- Crystal system: cubic
- Spin magnetization: 0.03 Bohr magnetons per cell
- Energy: -6.225 eV per atom

a b c (Å): 10.6800 10.6800 10.6800
angles (deg): 90.00 90.00 90.00
With the nearest neighbours (Å) after each atom.
Space group Fm-3m (No. 225)
Symmetry-distinct sites (fractional):
Dy (0.2500, 0.2500, 0.2500) (multiplicity 8)  4 Ni 2.55
Ni (0.0000, 0.0000, 0.0000) (multiplicity 4)  12 Ni 2.54
Ni (0.0000, 0.1682, 0.1682) (multiplicity 48)  2 B 2.10
Ni (0.1121, 0.1121, 0.3879) (multiplicity 32)  3 B 2.11
B (0.0000, 0.0000, 0.2703) (multiplicity 24)  8 Ni 2.10-2.11



(2)
Entry from Alexandria via LeMat-Bulk: a relaxed Dy3Ni19B10 crystal (PBE-GGA).

Results
- Energy relative to the elements: -433 meV per atom
- Crystal system: monoclinic
- Spin magnetization: 0.00 Bohr magnetons per cell
- Energy: -6.384 eV per atom

a b c (Å): 13.1615 8.7315 5.7779
angles (deg): 90.00 91.34 90.00
With the nearest neighbours (Å) after each atom.
Space group C2/m (No. 12)
Symmetry-distinct sites (fractional):
Dy (0.0000, 0.0000, 0.0000) (multiplicity 2)  14 Ni 2.78-2.89
Dy (0.1257, 0.5000, 0.3870) (multiplicity 4)  6 B 2.79-2.93, 11 Ni 2.82-3.06
Ni (0.0000, 0.0000, 0.5000) (multiplicity 2)  4 B 2.27, 2 Ni 2.41
Ni (0.0295, 0.2590, 0.6989) (multiplicity 8)  3 B 2.07-2.17
Ni (0.1220, 0.5000, 0.8746) (multiplicity 4)  4 B 2.05-2.13
Ni (0.1279, 0.2498, 0.0743) (multiplicity 8)  4 B 2.08-2.15
Ni (0.1627, 0.0000, 0.7023) (multiplicity 4)  4 B 2.10-2.30
Ni (0.1822, 0.0000, 0.2707) (multiplicity 4)  4 B 2.04-2.12
Ni (0.2185, 0.2638, 0.6983) (multiplicity 8)  4 B 2.13-2.34
B (0.0000, 0.3833, 0.0000) (multiplicity 4)  1 B 2.04, 6 Ni 2.05-2.09
B (0.1180, 0.1825, 0.4311) (multiplicity 8)  6 Ni 2.04-2.27
B (0.2458, 0.1030, 0.9742) (multiplicity 8)  1 B 1.80



(3)
Entry from Alexandria via LeMat-Bulk: a relaxed DyNiB crystal (PBE-GGA).

Results
- Energy relative to the elements: 212 meV per atom
- Crystal system: orthorhombic
- Spin magnetization: 0.00 Bohr magnetons per cell
- Energy: -5.475 eV per atom

a b c (Å): 5.0976 9.7296 7.4863
angles (deg): 90.00 90.00 90.00
With the nearest neighbours (Å) after each atom.
Space group Fdd2 (No. 43)
Symmetry-distinct sites (fractional):
Dy (0.0000, 0.0000, 0.0000) (multiplicity 8)  5 B 2.60-2.84, 2 Ni 2.67
Ni (0.0000, 0.0000, 0.6056) (multiplicity 8)  1 B 1.93
B (0.0000, 0.0000, 0.3475) (multiplicity 8)  1 Ni 1.93



(4)
Entry from Alexandria via LeMat-Bulk: a relaxed DyNi10B2 crystal (PBE-GGA).

Results
- Energy relative to the elements: -165 meV per atom
- Crystal system: orthorhombic
- Spin magnetization: 0.00 Bohr magnetons per cell
- Energy: -5.994 eV per atom

a b c (Å): 4.5826 10.8636 11.5472
angles (deg): 90.00 90.00 90.00
With the nearest neighbours (Å) after each atom.
Space group Fmmm (No. 69)
Symmetry-distinct sites (fractional):
Dy (0.0000, 0.0000, 0.0000) (multiplicity 4)  16 Ni 2.73-2.95
Ni (0.0000, 0.1071, 0.3753) (multiplicity 16)  2 B 2.18, 4 Ni 2.33-2.41
Ni (0.0000, 0.1639, 0.1796) (multiplicity 16)  2 B 2.27, 4 Ni 2.34-2.48
Ni (0.2500, 0.2500, 0.0000) (multiplicity 8)  10 Ni 2.29-2.55
B (0.2500, 0.0000, 0.2500) (multiplicity 8)  8 Ni 2.18-2.27, 2 B 2.29



(5)
Entry from Alexandria via LeMat-Bulk: a relaxed DyNi4B4 crystal (PBE-GGA).

Results
- Energy relative to the elements: -438 meV per atom
- Crystal system: tetragonal
- Spin magnetization: 0.00 Bohr magnetons per cell
- Energy: -6.487 eV per atom

a b c (Å): 5.0464 5.0464 7.0533
angles (deg): 90.00 90.00 90.00
With the nearest neighbours (Å) after each atom.
Space group P4_2/nmc (No. 137, origin choice 2)
Symmetry-distinct sites (fractional):
Dy (0.2500, 0.7500, 0.2500) (multiplicity 2)  12 Ni 2.87-2.98, 12 B 2.90-2.92
Ni (0.0003, 0.2500, 0.1156) (multiplicity 8)  5 B 2.09-2.12
B (0.0792, 0.2500, 0.4102) (multiplicity 8)  1 B 1.72